Computed, not measured: a relaxed structure of Tl2Ni2Mo3O12 at the GGA+U level of DFT.

Summary:
VASP energy: -6.1787 eV/atom
size of the total moment: 15.32 μB/cell
crystal system: cubic
space-group type: No. 198
V: 16.82 A^3/atom
density of states at the Fermi level: 0.000 states/eV/f.u.

a = 10.8533 Å, b = 10.8533 Å, c = 10.8533 Å
α = 90.00°, β = 90.00°, γ = 90.00°
Fractional positions:
Tl: 0.0550 0.0550 0.0550
Tl: 0.1704 0.3296 0.6704
Tl: 0.3296 0.6704 0.1704
Tl: 0.4450 0.9450 0.5550
Tl: 0.5550 0.4450 0.9450
Tl: 0.6704 0.1704 0.3296
Tl: 0.8296 0.8296 0.8296
Tl: 0.9450 0.5550 0.4450
Ni: 0.1135 0.8865 0.3865
Ni: 0.1614 0.6614 0.8386
Ni: 0.3386 0.3386 0.3386
Ni: 0.3865 0.1135 0.8865
Ni: 0.6135 0.6135 0.6135
Ni: 0.6614 0.8386 0.1614
Ni: 0.8386 0.1614 0.6614
Ni: 0.8865 0.3865 0.1135
Mo: 0.0284 0.2007 0.3784
Mo: 0.1216 0.9716 0.7007
Mo: 0.2007 0.3784 0.0284
Mo: 0.2993 0.6216 0.5284
Mo: 0.3784 0.0284 0.2007
Mo: 0.4716 0.7993 0.8784
Mo: 0.5284 0.2993 0.6216
Mo: 0.6216 0.5284 0.2993
Mo: 0.7007 0.1216 0.9716
Mo: 0.7993 0.8784 0.4716
Mo: 0.8784 0.4716 0.7993
Mo: 0.9716 0.7007 0.1216
O: 0.0206 0.0431 0.3244
O: 0.0249 0.5449 0.7772
O: 0.0431 0.3244 0.0206
O: 0.0449 0.7228 0.9751
O: 0.0522 0.7945 0.2311
O: 0.1019 0.8147 0.7465
O: 0.1756 0.9794 0.5431
O: 0.1853 0.2465 0.3981
O: 0.2055 0.7311 0.4478
O: 0.2228 0.5249 0.9551
O: 0.2311 0.0522 0.7945
O: 0.2465 0.3981 0.1853
O: 0.2535 0.6019 0.6853
O: 0.2689 0.9478 0.2945
O: 0.2772 0.4751 0.4551
O: 0.2945 0.2689 0.9478
O: 0.3147 0.7535 0.8981
O: 0.3244 0.0206 0.0431
O: 0.3981 0.1853 0.2465
O: 0.4478 0.2055 0.7311
O: 0.4551 0.2772 0.4751
O: 0.4569 0.6756 0.5206
O: 0.4751 0.4551 0.2772
O: 0.4794 0.9569 0.8244
O: 0.5206 0.4569 0.6756
O: 0.5249 0.9551 0.2228
O: 0.5431 0.1756 0.9794
O: 0.5449 0.7772 0.0249
O: 0.5522 0.7055 0.7689
O: 0.6019 0.6853 0.2535
O: 0.6756 0.5206 0.4569
O: 0.6853 0.2535 0.6019
O: 0.7055 0.7689 0.5522
O: 0.7228 0.9751 0.0449
O: 0.7311 0.4478 0.2055
O: 0.7465 0.1019 0.8147
O: 0.7535 0.8981 0.3147
O: 0.7689 0.5522 0.7055
O: 0.7772 0.0249 0.5449
O: 0.7945 0.2311 0.0522
O: 0.8147 0.7465 0.1019
O: 0.8244 0.4794 0.9569
O: 0.8981 0.3147 0.7535
O: 0.9478 0.2945 0.2689
O: 0.9551 0.2228 0.5249
O: 0.9569 0.8244 0.4794
O: 0.9751 0.0449 0.7228
O: 0.9794 0.5431 0.1756


Computed, not measured: a relaxed structure of Cr2HF at the GGA+U level of DFT.

Summary:
VASP energy: -5.5183 eV/atom
size of the total moment: 20.00 μB/cell
crystal system: tetragonal
space-group type: No. 122
V: 14.77 A^3/atom
density of states at the Fermi level: 0.000 states/eV/f.u.
relative energy among the computed polymorphs: 0 meV/atom

a = 5.8976 Å, b = 5.8976 Å, c = 5.8976 Å
α = 129.79°, β = 129.79°, γ = 73.74°
Fractional positions:
Cr: 0.0701 0.6250 0.9451
Cr: 0.3750 0.3201 0.4451
Cr: 0.6799 0.1250 0.0549
Cr: 0.8750 0.9299 0.5549
H: 0.0000 0.0000 0.0000
H: 0.7500 0.2500 0.5000
F: 0.2500 0.7500 0.5000
F: 0.5000 0.5000 0.0000